P | ## ZnFeCo (SCAN)

Data for ZnFeCo at its PBEsol-relaxed geometry.

a b c (Å): 2.479 4.004 4.004
angles (deg): 120.00 90.00 90.00
Atoms (fractional coordinates):
Zn 0.327 0.333 0.667
Fe 0.709 0.667 0.333
Co 0.964 0.000 0.000

Space group = P3m1, No. 156

=====

Q | ## ZnFeCo (SCAN)

Data for ZnFeCo at its PBEsol-relaxed geometry.

a b c (Å): 2.834 2.834 4.720
angles (deg): 107.47 107.47 90.00
Atoms (fractional coordinates):
Zn 0.335 0.335 0.670
Co 0.010 0.010 0.019
Fe 0.655 0.655 0.310

Space group = I4mm, No. 107

=====

What is the stability order? It is P, Q, from most stable to least stable.

=====

P | ## CaTcPt2 (SCAN)

Data for CaTcPt2 at its PBEsol-relaxed geometry.

a b c (Å): 2.766 4.682 4.996
angles (deg): 90.00 90.04 90.00
Atoms (fractional coordinates):
Ca 0.374 0.500 0.813
Pt 0.875 0.500 0.315
Pt 0.875 0.000 0.948
Tc 0.376 0.000 0.425

Space group = Pmm2, No. 25

=====

Q | ## CaTcPt2 (SCAN)

Data for CaTcPt2 at its PBEsol-relaxed geometry.

a b c (Å): 4.004 4.004 4.952
angles (deg): 113.84 113.84 90.00
Atoms (fractional coordinates):
Pt 0.250 0.750 0.500
Pt 0.000 0.000 0.000
Tc 0.500 0.500 0.000
Ca 0.750 0.250 0.500

Space group = I-4m2, No. 119

=====

What is the stability order? It is P, Q, from most stable to least stable.

=====

P | ## Bi3O4F (SCAN)

Data for Bi3O4F at its PBEsol-relaxed geometry.

a b c (Å): 4.020 6.530 11.190
angles (deg): 90.00 90.00 107.93
Atoms (fractional coordinates):
O 0.250 0.500 0.250
O 0.465 0.930 0.250
O 0.222 0.443 0.905
O 0.778 0.557 0.095
O 0.750 0.500 0.750
O 0.222 0.443 0.595
O 0.778 0.557 0.405
O 0.535 0.070 0.750
Bi 0.630 0.261 0.588
Bi 0.370 0.739 0.088
Bi 0.370 0.739 0.412
Bi 0.671 0.341 0.250
Bi 0.630 0.261 0.912
Bi 0.329 0.659 0.750
F 0.000 0.000 0.000
F 0.000 0.000 0.500

Space group = Cmcm, No. 63

=====

Q | ## Bi3O4F (SCAN)

Data for Bi3O4F at its PBEsol-relaxed geometry.

a b c (Å): 5.557 5.554 8.591
angles (deg): 90.00 101.47 90.00
Atoms (fractional coordinates):
Bi 0.250 0.760 0.500
Bi 0.357 0.260 0.806
Bi 0.643 0.740 0.194
Bi 0.750 0.240 0.500
Bi 0.143 0.260 0.194
Bi 0.857 0.740 0.806
O 0.550 0.505 0.674
O 0.450 0.994 0.324
O 0.950 0.505 0.326
O 0.050 0.994 0.676
O 0.450 0.495 0.326
O 0.050 0.495 0.674
O 0.950 0.006 0.324
O 0.550 0.006 0.676
F 0.750 0.344 0.000
F 0.250 0.656 0.000

Space group = P2/c, No. 13

=====

What is the stability order? It is Q, P, from most stable to least stable.